(1)
! BeAsPtAu PBE optimized geometry; values from VASP
&SYSTEM
  ibrav = 0, nat = 4, ntyp = 4
/
ATOMIC_SPECIES
Be 9.01 Be.upf
As 74.92 As.upf
Pt 195.08 Pt.upf
Au 196.97 Au.upf
CELL_PARAMETERS angstrom
0.000 3.165 3.165
3.165 0.000 3.165
3.165 3.165 0.000
ATOMIC_POSITIONS crystal
Be 0.000 0.000 0.000
As 0.750 0.750 0.750
Pt 0.500 0.500 0.500
Au 0.250 0.250 0.250
! offset from the most stable computed form	154.5	meV per atom
! space-group type	F-43m, No. 216

(2)
! AuSeClO3 PBE optimized geometry; values from VASP
&SYSTEM
  ibrav = 0, nat = 24, ntyp = 4
/
ATOMIC_SPECIES
Au 196.97 Au.upf
Se 78.96 Se.upf
Cl 35.45 Cl.upf
O 16.00 O.upf
CELL_PARAMETERS angstrom
4.154 0.000 0.000
0.442 9.782 0.000
0.301 1.930 10.445
ATOMIC_POSITIONS crystal
Au 0.000 0.000 0.000
Au 0.000 0.000 0.500
Au 0.010 0.576 0.191
Au 0.990 0.424 0.809
Se 0.224 0.715 0.898
Se 0.302 0.138 0.724
Se 0.698 0.862 0.276
Se 0.776 0.285 0.102
Cl 0.281 0.200 0.437
Cl 0.348 0.502 0.647
Cl 0.652 0.498 0.353
Cl 0.719 0.800 0.563
O 0.042 0.760 0.250
O 0.076 0.005 0.685
O 0.076 0.393 0.132
O 0.093 0.170 0.072
O 0.350 0.645 0.052
O 0.380 0.050 0.878
O 0.620 0.950 0.122
O 0.650 0.355 0.948
O 0.907 0.830 0.928
O 0.924 0.607 0.868
O 0.924 0.995 0.315
O 0.958 0.240 0.750
! E_tot	-26.1	eV/f.u.
! space-group type	P-1, No. 2

(3)
! TaSiAsO PBE optimized geometry; values from VASP
&SYSTEM
  ibrav = 0, nat = 8, ntyp = 4
/
ATOMIC_SPECIES
Ta 180.95 Ta.upf
Si 28.09 Si.upf
As 74.92 As.upf
O 16.00 O.upf
CELL_PARAMETERS angstrom
3.301 0.000 0.000
0.000 5.387 0.000
0.000 0.000 7.029
ATOMIC_POSITIONS crystal
Ta 0.000 0.214 0.000
Ta 0.000 0.786 0.500
Si 0.500 0.127 0.593
Si 0.500 0.873 0.093
As 0.000 0.286 0.369
As 0.000 0.714 0.869
O 0.500 0.270 0.804
O 0.500 0.730 0.304
! offset from the most stable computed form	3.6	meV per atom
! space-group type	Pmc2_1, No. 26

(4)
! NdSmZnCo2 PBE optimized geometry; values from VASP
&SYSTEM
  ibrav = 0, nat = 5, ntyp = 4
/
ATOMIC_SPECIES
Nd 144.24 Nd.upf
Sm 150.36 Sm.upf
Zn 65.41 Zn.upf
Co 58.93 Co.upf
CELL_PARAMETERS angstrom
-2.083 2.760 4.224
2.083 -2.760 4.224
2.083 2.760 -4.224
ATOMIC_POSITIONS crystal
Nd 0.000 0.000 0.000
Sm 0.416 0.416 0.000
Zn 0.708 0.208 0.500
Co 0.000 0.709 0.291
Co 0.419 0.709 0.709
! energy of formation	-0.1927	eV per atom
! space-group type	Imm2, No. 44

(5)
! Sc2B2Au PBE optimized geometry; values from VASP
&SYSTEM
  ibrav = 0, nat = 5, ntyp = 3
/
ATOMIC_SPECIES
Sc 44.96 Sc.upf
B 10.81 B.upf
Au 196.97 Au.upf
CELL_PARAMETERS angstrom
1.581 -6.359 0.000
1.581 6.359 0.000
0.000 0.000 3.467
ATOMIC_POSITIONS crystal
Sc 0.140 0.860 0.000
Sc 0.860 0.140 0.000
B 0.278 0.722 0.500
B 0.722 0.278 0.500
Au 0.500 0.500 0.500
! E_tot	-32.7	eV/f.u.
! space-group type	Cmmm, No. 65

(6)
! ReHgAs PBE optimized geometry; values from VASP
&SYSTEM
  ibrav = 0, nat = 3, ntyp = 3
/
ATOMIC_SPECIES
Re 186.21 Re.upf
Hg 200.59 Hg.upf
As 74.92 As.upf
CELL_PARAMETERS angstrom
0.000 3.109 3.109
3.109 0.000 3.109
3.109 3.109 0.000
ATOMIC_POSITIONS crystal
Re 0.000 0.000 0.000
Hg 0.250 0.250 0.250
As 0.750 0.750 0.750
! offset from the most stable computed form	0.0	meV per atom
! space-group type	F-43m, No. 216

(7)
! Dy2Y3Er2Co2Te2 PBE optimized geometry; values from VASP
&SYSTEM
  ibrav = 0, nat = 11, ntyp = 5
/
ATOMIC_SPECIES
Dy 162.50 Dy.upf
Y 88.91 Y.upf
Er 167.26 Er.upf
Co 58.93 Co.upf
Te 127.60 Te.upf
CELL_PARAMETERS angstrom
-1.924 7.840 4.743
1.924 -7.840 4.743
1.924 7.840 -4.743
ATOMIC_POSITIONS crystal
Dy 0.134 0.000 0.134
Dy 0.866 0.000 0.866
Y 0.203 0.851 0.352
Y 0.500 0.851 0.648
Y 0.583 0.583 0.000
Er 0.519 0.205 0.314
Er 0.890 0.205 0.686
Co 0.275 0.514 0.762
Co 0.752 0.514 0.238
Te 0.247 0.247 0.000
Te 0.847 0.347 0.500
! E_tot	-65.0	eV/f.u.
! space-group type	Imm2, No. 44

(8)
! TaAlIrAu PBE optimized geometry; values from VASP
&SYSTEM
  ibrav = 0, nat = 4, ntyp = 4
/
ATOMIC_SPECIES
Ta 180.95 Ta.upf
Al 26.98 Al.upf
Ir 192.22 Ir.upf
Au 196.97 Au.upf
CELL_PARAMETERS angstrom
0.000 3.204 3.204
3.204 0.000 3.204
3.204 3.204 0.000
ATOMIC_POSITIONS crystal
Ta 0.000 0.000 0.000
Al 0.500 0.500 0.500
Ir 0.250 0.250 0.250
Au 0.750 0.750 0.750
! offset from the most stable computed form	0.0	meV per atom
! space-group type	F-43m, No. 216

(9)
! ZrTlAgTe3 PBE optimized geometry; values from VASP
&SYSTEM
  ibrav = 0, nat = 12, ntyp = 4
/
ATOMIC_SPECIES
Zr 91.22 Zr.upf
Tl 204.38 Tl.upf
Ag 107.87 Ag.upf
Te 127.60 Te.upf
CELL_PARAMETERS angstrom
2.071 -7.716 0.000
2.071 7.716 0.000
0.000 0.000 11.049
ATOMIC_POSITIONS crystal
Zr 0.000 0.000 0.000
Zr 0.000 0.000 0.500
Tl 0.238 0.762 0.750
Tl 0.762 0.238 0.250
Ag 0.458 0.542 0.250
Ag 0.542 0.458 0.750
Te 0.078 0.922 0.250
Te 0.365 0.635 0.037
Te 0.365 0.635 0.463
Te 0.635 0.365 0.537
Te 0.635 0.365 0.963
Te 0.922 0.078 0.750
! offset from the most stable computed form	33.1	meV per atom
! space-group type	Cmcm, No. 63

(10)
! LiNi5 PBE optimized geometry; values from VASP
&SYSTEM
  ibrav = 0, nat = 6, ntyp = 2
/
ATOMIC_SPECIES
Li 6.94 Li.upf
Ni 58.69 Ni.upf
CELL_PARAMETERS angstrom
4.659 0.000 0.000
-2.330 4.035 0.000
0.000 0.000 3.946
ATOMIC_POSITIONS crystal
Li 0.000 0.000 0.000
Ni 0.000 0.500 0.500
Ni 0.333 0.667 0.000
Ni 0.500 0.000 0.500
Ni 0.500 0.500 0.500
Ni 0.667 0.333 0.000
! E_tot	-29.0	eV/f.u.
! space-group type	P6/mmm, No. 191

(11)
! Li4PPt2Pb PBE optimized geometry; values from VASP
&SYSTEM
  ibrav = 0, nat = 8, ntyp = 4
/
ATOMIC_SPECIES
Li 6.94 Li.upf
P 30.97 P.upf
Pt 195.08 Pt.upf
Pb 207.20 Pb.upf
CELL_PARAMETERS angstrom
4.168 0.000 0.000
0.000 4.168 0.000
0.000 0.000 6.730
ATOMIC_POSITIONS crystal
Li 0.000 0.000 0.000
Li 0.000 0.500 0.710
Li 0.500 0.000 0.290
Li 0.500 0.500 0.500
P 0.000 0.000 0.500
Pt 0.000 0.500 0.296
Pt 0.500 0.000 0.704
Pb 0.500 0.500 0.000
! E_tot	-33.5	eV/f.u.
! space-group type	P-4m2, No. 115

(12)
! ReSnAs PBE optimized geometry; values from VASP
&SYSTEM
  ibrav = 0, nat = 3, ntyp = 3
/
ATOMIC_SPECIES
Re 186.21 Re.upf
Sn 118.71 Sn.upf
As 74.92 As.upf
CELL_PARAMETERS angstrom
0.000 3.140 3.140
3.140 0.000 3.140
3.140 3.140 0.000
ATOMIC_POSITIONS crystal
Re 0.000 0.000 0.000
Sn 0.250 0.250 0.250
As 0.750 0.750 0.750
! offset from the most stable computed form	625.0	meV per atom
! space-group type	F-43m, No. 216

(13)
! NbCuSbPd PBE optimized geometry; values from VASP
&SYSTEM
  ibrav = 0, nat = 4, ntyp = 4
/
ATOMIC_SPECIES
Nb 92.91 Nb.upf
Cu 63.55 Cu.upf
Sb 121.76 Sb.upf
Pd 106.42 Pd.upf
CELL_PARAMETERS angstrom
0.000 3.250 3.250
3.250 0.000 3.250
3.250 3.250 0.000
ATOMIC_POSITIONS crystal
Nb 0.000 0.000 0.000
Cu 0.750 0.750 0.750
Sb 0.500 0.500 0.500
Pd 0.250 0.250 0.250
! offset from the most stable computed form	123.7	meV per atom
! space-group type	F-43m, No. 216

(14)
! PrHoS2F2 PBE optimized geometry; values from VASP
&SYSTEM
  ibrav = 0, nat = 6, ntyp = 4
/
ATOMIC_SPECIES
Pr 140.91 Pr.upf
Ho 164.93 Ho.upf
S 32.06 S.upf
F 19.00 F.upf
CELL_PARAMETERS angstrom
3.822 0.000 0.000
0.000 3.822 0.000
0.000 0.000 6.850
ATOMIC_POSITIONS crystal
Pr 0.000 0.000 0.000
Ho 0.500 0.500 0.541
S 0.000 0.000 0.423
S 0.500 0.500 0.137
F 0.000 0.500 0.764
F 0.500 0.000 0.764
! E_tot	-39.2	eV/f.u.
! space-group type	P4mm, No. 99

(15)
! MgTcGe PBE optimized geometry; values from VASP
&SYSTEM
  ibrav = 0, nat = 3, ntyp = 3
/
ATOMIC_SPECIES
Mg 24.30 Mg.upf
Tc 98.00 Tc.upf
Ge 72.64 Ge.upf
CELL_PARAMETERS angstrom
0.000 2.991 2.991
2.991 0.000 2.991
2.991 2.991 0.000
ATOMIC_POSITIONS crystal
Mg 0.000 0.000 0.000
Tc 0.500 0.500 0.500
Ge 0.250 0.250 0.250
! offset from the most stable computed form	0.0	meV per atom
! space-group type	F-43m, No. 216

(16)
! Zr3NiP PBE optimized geometry; values from VASP
&SYSTEM
  ibrav = 0, nat = 10, ntyp = 3
/
ATOMIC_SPECIES
Zr 91.22 Zr.upf
Ni 58.69 Ni.upf
P 30.97 P.upf
CELL_PARAMETERS angstrom
1.776 -5.729 0.000
1.776 5.729 0.000
0.000 0.000 9.499
ATOMIC_POSITIONS crystal
Zr 0.078 0.922 0.750
Zr 0.351 0.649 0.575
Zr 0.351 0.649 0.925
Zr 0.649 0.351 0.075
Zr 0.649 0.351 0.425
Zr 0.922 0.078 0.250
Ni 0.250 0.750 0.250
Ni 0.750 0.250 0.750
P 0.000 0.000 0.000
P 0.000 0.000 0.500
! E_tot	-40.2	eV/f.u.
! space-group type	Cmcm, No. 63

(17)
! ErS3Cl PBE optimized geometry; values from VASP
&SYSTEM
  ibrav = 0, nat = 10, ntyp = 3
/
ATOMIC_SPECIES
Er 167.26 Er.upf
S 32.06 S.upf
Cl 35.45 Cl.upf
CELL_PARAMETERS angstrom
4.274 -5.304 0.000
4.274 5.304 0.000
-2.914 0.000 7.151
ATOMIC_POSITIONS crystal
Er 0.178 0.822 0.000
Er 0.822 0.178 0.000
S 0.181 0.506 0.152
S 0.478 0.478 0.273
S 0.494 0.819 0.848
S 0.506 0.181 0.152
S 0.522 0.522 0.727
S 0.819 0.494 0.848
Cl 0.024 0.024 0.245
Cl 0.976 0.976 0.755
! offset from the most stable computed form	0.0	meV per atom
! space-group type	C2/m, No. 12

(18)
! Gd2DyHo3CoTe2 PBE optimized geometry; values from VASP
&SYSTEM
  ibrav = 0, nat = 9, ntyp = 5
/
ATOMIC_SPECIES
Gd 157.25 Gd.upf
Dy 162.50 Dy.upf
Ho 164.93 Ho.upf
Co 58.93 Co.upf
Te 127.60 Te.upf
CELL_PARAMETERS angstrom
3.212 0.000 0.000
0.000 8.238 4.732
0.000 -8.238 4.732
ATOMIC_POSITIONS crystal
Gd 0.000 0.165 0.835
Gd 0.000 0.835 0.165
Dy 0.000 0.493 0.493
Ho 0.000 0.164 0.490
Ho 0.000 0.490 0.164
Ho 0.000 0.839 0.839
Co 0.000 0.167 0.167
Te 0.000 0.498 0.830
Te 0.000 0.830 0.498
! E_tot	-38.7	eV/f.u.
! space-group type	Amm2, No. 38

(19)
! ZrFeCoBi PBE optimized geometry; values from VASP
&SYSTEM
  ibrav = 0, nat = 4, ntyp = 4
/
ATOMIC_SPECIES
Zr 91.22 Zr.upf
Fe 55.84 Fe.upf
Co 58.93 Co.upf
Bi 208.98 Bi.upf
CELL_PARAMETERS angstrom
0.000 3.285 3.285
3.285 0.000 3.285
3.285 3.285 0.000
ATOMIC_POSITIONS crystal
Zr 0.000 0.000 0.000
Fe 0.750 0.750 0.750
Co 0.500 0.500 0.500
Bi 0.250 0.250 0.250
! offset from the most stable computed form	276.1	meV per atom
! space-group type	F-43m, No. 216

(20)
! Na4CuAs2Au PBE optimized geometry; values from VASP
&SYSTEM
  ibrav = 0, nat = 8, ntyp = 4
/
ATOMIC_SPECIES
Na 22.99 Na.upf
Cu 63.55 Cu.upf
As 74.92 As.upf
Au 196.97 Au.upf
CELL_PARAMETERS angstrom
3.548 -4.416 0.000
3.548 4.416 0.000
-0.087 0.000 5.527
ATOMIC_POSITIONS crystal
Na 0.026 0.671 0.747
Na 0.329 0.974 0.253
Na 0.671 0.026 0.747
Na 0.974 0.329 0.253
Cu 0.500 0.500 0.000
As 0.215 0.215 0.771
As 0.785 0.785 0.229
Au 0.500 0.500 0.500
! E_tot	-25.1	eV/f.u.
! space-group type	C2/m, No. 12